[1]
Material: TcMo2W
Method: DFT, GGA-PBEsol
State: optimized geometry

```
TcMo2W
1.0
3.107 0.000 0.000
0.000 4.418 0.000
-1.554 -2.209 4.398
Tc W Mo
1 1 2
direct
0.501 0.501 0.003
0.253 0.753 0.506
0.999 0.999 0.998
0.746 0.246 0.493
```

**Formation energy from the elements**: 0.046 eV per atom
**Fermi-level density of states**: 0.793 states/eV per atom
**Calculated total energy**: -48.428 eV/cell
**E above lowest polymorph**: 10 meV/atom

=====

[2]
Material: MgFePt2
Method: DFT, GGA-PBEsol
State: optimized geometry

```
MgFePt2
1.0
-0.631 -0.043 3.242
-1.538 -2.904 -0.338
4.743 -2.615 0.888
Pt Mg Fe
2 1 1
direct
0.000 0.000 0.989
0.500 0.500 0.281
0.500 0.500 0.762
0.000 0.000 0.468
```

**Formation energy from the elements**: -0.182 eV per atom
**Fermi-level density of states**: 0.753 states/eV per atom
**Calculated total energy**: -25.334 eV/cell